[1]
Material: Pr2SmY
Method: DFT, PBE-GGA
State: relaxed

The structure in POSCAR format:
```
Pr2SmY
1.0
5.811 0.000 0.000
2.906 5.033 0.000
2.906 1.678 4.745
Sm Pr Y
1 2 1
direct
0.000 0.000 0.000
0.250 0.250 0.250
0.750 0.750 0.750
0.500 0.500 0.500
```

Distance to the lowest polymorph of the same formula (meV/atom): 97.9
Size of the total moment (μB per cell): 0.0
Energy of formation (eV/atom): 0.112


[2]
Material: Pr4Sm2Y
Method: DFT, PBE-GGA
State: relaxed

The structure in POSCAR format:
```
Pr4Sm2Y
1.0
-0.932 -3.296 -1.327
1.693 -1.327 -2.978
14.656 -10.523 10.756
Pr Sm Y
4 2 1
direct
0.286 0.286 0.141
0.142 0.142 0.573
0.858 0.858 0.427
0.714 0.714 0.859
0.572 0.572 0.284
0.428 0.428 0.716
0.000 0.000 0.000
```

Distance to the lowest polymorph of the same formula (meV/atom): 0.0
Size of the total moment (μB per cell): 0.0
Energy of formation (eV/atom): 0.008


[3]
Material: Pr3Sm4Y2
Method: DFT, PBE-GGA
State: relaxed

The structure in POSCAR format:
```
Pr3Sm4Y2
1.0
-2.249 2.075 1.988
-1.270 -1.796 -2.911
-5.811 -21.327 15.693
Sm Pr Y
4 3 2
direct
0.000 0.000 0.766
0.667 0.333 0.435
0.000 0.000 0.542
0.667 0.333 0.214
0.000 0.000 0.983
0.000 0.000 0.321
0.667 0.333 0.654
0.667 0.333 0.089
0.667 0.333 0.871
```

Distance to the lowest polymorph of the same formula (meV/atom): 51.8
Size of the total moment (μB per cell): 0.0
Energy of formation (eV/atom): 0.066


[4]
Material: PrSm3Y6
Method: DFT, PBE-GGA
State: relaxed

The structure in POSCAR format:
```
PrSm3Y6
1.0
-2.380 6.407 -7.274
-9.223 3.785 -0.497
-2.768 6.373 -0.329
Y Sm Pr
6 3 1
direct
0.726 0.074 0.800
0.572 0.228 0.300
0.400 0.726 0.800
0.228 0.900 0.300
0.900 0.572 0.300
0.074 0.400 0.800
0.152 0.152 0.544
0.648 0.648 0.056
0.400 0.400 0.800
0.900 0.900 0.300
```

Distance to the lowest polymorph of the same formula (meV/atom): 115.4
Size of the total moment (μB per cell): 0.0
Energy of formation (eV/atom): 0.259


[5]
Material: Pr3SmY
Method: DFT, PBE-GGA
State: relaxed

The structure in POSCAR format:
```
Pr3SmY
1.0
7.954 -0.280 -0.208
0.291 9.286 -1.364
0.289 1.315 9.293
Pr Sm Y
12 4 4
direct
0.383 0.097 0.103
0.115 0.100 0.400
0.383 0.397 0.403
0.615 0.400 0.100
0.617 0.903 0.897
0.883 0.403 0.397
0.117 0.597 0.603
0.385 0.600 0.900
0.883 0.103 0.097
0.885 0.900 0.600
0.117 0.897 0.903
0.617 0.603 0.597
0.380 0.901 0.599
0.880 0.599 0.901
0.620 0.099 0.401
0.120 0.401 0.099
0.250 0.747 0.253
0.750 0.753 0.247
0.250 0.247 0.753
0.750 0.253 0.747
```

Distance to the lowest polymorph of the same formula (meV/atom): 100.4
Size of the total moment (μB per cell): 0.0
Energy of formation (eV/atom): 0.114


[6]
Material: PrSm6Y5
Method: DFT, PBE-GGA
State: relaxed

The structure in POSCAR format:
```
PrSm6Y5
1.0
11.809 -1.799 0.000
2.007 5.931 0.000
1.003 2.966 5.421
Y Sm Pr
5 6 1
direct
0.500 0.167 0.666
0.000 0.333 0.333
0.500 0.500 0.000
0.000 0.667 0.667
0.500 0.833 0.334
0.749 0.750 0.000
0.252 0.583 0.334
0.748 0.083 0.334
0.251 0.250 0.000
0.748 0.417 0.666
0.252 0.917 0.666
0.000 0.000 0.000
```

Size of the total moment (μB per cell): 0.0
Energy of formation (eV/atom): 0.014


Q: Number 1 is which compound?
A: Pr2SmY